Density functional theory data (PBE) for Nd2ScBiO6 after structural relaxation.

Computed properties:
- formation energy from raw total energies (eV per atom) = -2.656
- calculated total energy (eV/atom) = -7.605

Unit cell a=5.499 b=5.499 c=5.532 alpha=90.00 beta=90.00 gamma=90.00
Space group P4mm (No. 99)
Symmetry-distinct sites (fractional):
Nd: 0.000 0.500 0.000 (multiplicity 2)
Sc: 0.000 0.000 0.600 (multiplicity 1)
Bi: 0.500 0.500 0.569 (multiplicity 1)
O: 0.000 0.000 0.241 (multiplicity 1)
O: 0.241 0.241 0.759 (multiplicity 4)
O: 0.500 0.500 0.156 (multiplicity 1)